# LiFeC2O6 PBE+U optimized geometry
data_LiFeC2O6
_cell_length_a 6.793
_cell_length_b 6.793
_cell_length_c 7.877
_cell_angle_alpha 85.23
_cell_angle_beta 85.23
_cell_angle_gamma 131.71
_symmetry_space_group_name_H-M 'P 1'
_symmetry_Int_Tables_number 1
_symmetry_space_group_name_Hall 'P 1'
loop_
_atom_site_label
_atom_site_type_symbol
_atom_site_fract_x
_atom_site_fract_y
_atom_site_fract_z
Fe1 Fe 0.886 0.164 0.000
Fe2 Fe 0.164 0.886 0.500
O1 O 0.848 0.430 0.936
O2 O 0.430 0.848 0.436
O3 O 0.527 0.831 0.157
O4 O 0.783 0.963 0.793
O5 O 0.122 0.110 0.065
O6 O 0.180 0.369 0.766
O7 O 0.208 0.814 0.753
O8 O 0.831 0.527 0.657
O9 O 0.963 0.783 0.293
O10 O 0.814 0.208 0.253
O11 O 0.369 0.180 0.266
O12 O 0.110 0.122 0.565
Li1 Li 0.465 0.754 0.682
Li2 Li 0.754 0.465 0.182
C1 C 0.028 0.152 0.703
C2 C 0.586 0.958 0.284
C3 C 0.152 0.028 0.203
C4 C 0.958 0.586 0.784
# Mass density = 2.3 g/cm3
# Electronic total energy = -7.0658 eV per atom
# Distance to the lowest polymorph of the same formula = 59 meV/atom
# Symmetry = No. 9